Compound: TiTlPd3
Source: Alexandria via LeMat-Bulk
Functional: PBE-GGA
Structure: relaxed

Unit cell a=4.753 b=4.753 c=4.753 alpha=90.00 beta=90.00 gamma=90.00
Space group Pm-3m (No. 221)
Inequivalent atoms, fractional coordinates:
Ti (0.000, 0.000, 0.000)
Tl (0.500, 0.500, 0.500)
Pd (0.000, 0.000, 0.500)

Values from the calculation:
Energy = -4.812 eV per atom
DFT formation energy = 356 meV/atom
Energy above the most stable polymorph in this dataset = 0 kJ/mol of formula units